--- w ---
8
Lattice="6.3294 0.0000 0.0000 0.0000 6.3294 0.0000 0.0000 0.0000 6.3294" Properties=species:S:1:pos:R:3 comment="LiNd3Te4, relaxed, DFT PBE" magmom_total_mub_per_cell=0.0 space_group="Pm-3m, No. 221" pbc="T T T"
Li 0.0000 0.0000 0.0000
Nd 0.0000 3.1647 3.1647
Nd 3.1647 0.0000 3.1647
Nd 3.1647 3.1647 0.0000
Te 0.0000 0.0000 3.1647
Te 0.0000 3.1647 0.0000
Te 3.1647 0.0000 0.0000
Te 3.1647 3.1647 3.1647

--- x ---
16
Lattice="10.5637 0.0000 0.0000 0.0000 9.1189 0.0000 0.0000 0.0000 6.2957" Properties=species:S:1:pos:R:3 comment="LiNd3Te4, relaxed, DFT PBE" magmom_total_mub_per_cell=0.0 space_group="Pmn2_1, No. 31" pbc="T T T"
Li 0.0000 1.4223 0.0000
Li 5.2818 7.6965 3.1479
Nd 0.0000 7.4377 3.4355
Nd 2.6331 6.0486 0.2854
Nd 2.6487 3.0702 3.4332
Nd 5.2818 1.6811 0.2876
Nd 7.9149 3.0702 3.4332
Nd 7.9305 6.0486 0.2854
Te 0.0000 1.4223 3.3938
Te 0.0000 7.6692 0.2886
Te 2.4101 2.9416 0.2862
Te 2.8717 6.1772 3.4341
Te 5.2818 1.4497 3.4364
Te 5.2818 7.6966 0.2459
Te 7.6920 6.1772 3.4341
Te 8.1535 2.9416 0.2862

Short version: w is the most stable of them.